An optimized crystal structure of Cs2Zn2Sb. Source: Alexandria via LeMat-Bulk, functional PBE.

a = 12.8247 Å, b = 12.8247 Å, c = 12.8247 Å
α = 162.92°, β = 162.92°, γ = 24.24°
Last column: nearest neighbours and their distance in Å.
Atoms (fractional coordinates):
Cs  0.1082  0.1082  0.0000  4 Cs 3.81, 4 Sb 3.82, 4 Zn 4.03
Cs  0.8918  0.8918  0.0000  4 Cs 3.81, 4 Sb 3.82, 4 Zn 4.03
Zn  0.2500  0.7500  0.5000  4 Zn 2.69
Zn  0.7500  0.2500  0.5000  4 Zn 2.69
Sb  0.5000  0.5000  0.0000  4 Sb 3.81, 8 Cs 3.82

Values from the calculation:
Symmetry ... I4/mmm
Relative energy among the computed polymorphs ... 5.42 kJ per mole of atoms
DOS at the Fermi energy ... 2.42 states/eV per cell
E_tot ... -1.66 eV per atom

***

An optimized crystal structure of CsZnSb. Source: Alexandria via LeMat-Bulk, functional PBE.

a = 4.6179 Å, b = 4.6182 Å, c = 6.8727 Å
α = 70.80°, β = 70.98°, γ = 60.02°
Last column: nearest neighbours and their distance in Å.
Atoms (fractional coordinates):
Cs  0.0000  0.0000  0.0000  4 Zn 3.53-3.90
Zn  0.1916  0.1863  0.4461  3 Sb 2.67
Sb  0.5155  0.5101  0.4749  3 Zn 2.67

Values from the calculation:
Symmetry ... P1
DOS at the Fermi energy ... 0.00 states/eV per cell
E_tot ... -2.42 eV per atom

***

An optimized crystal structure of CsZn6Sb4. Source: Alexandria via LeMat-Bulk, functional PBE.

a = 13.6051 Å, b = 13.6051 Å, c = 13.6051 Å
α = 159.70°, β = 159.70°, γ = 28.87°
Last column: nearest neighbours and their distance in Å.
Atoms (fractional coordinates):
Cs  0.0000  0.0000  0.0000  8 Sb 4.09, 8 Zn 4.35
Zn  0.1379  0.6379  0.5000  4 Sb 2.75-2.87, 1 Zn 2.95
Zn  0.2500  0.7500  0.5000  4 Sb 2.77, 2 Zn 2.95
Zn  0.3621  0.8621  0.5000  4 Sb 2.75-2.87, 1 Zn 2.95
Zn  0.6379  0.1379  0.5000  4 Sb 2.75-2.87, 1 Zn 2.95
Zn  0.7500  0.2500  0.5000  4 Sb 2.77, 2 Zn 2.95
Zn  0.8621  0.3621  0.5000  4 Sb 2.75-2.87, 1 Zn 2.95
Sb  0.1976  0.1976  0.0000  8 Zn 2.77-2.87
Sb  0.4131  0.4131  0.0000  4 Zn 2.75
Sb  0.5869  0.5869  0.0000  4 Zn 2.75
Sb  0.8024  0.8024  0.0000  8 Zn 2.77-2.87

Values from the calculation:
Symmetry ... I4/mmm
DOS at the Fermi energy ... 3.75 states/eV per cell
E_tot ... -2.36 eV per atom

***

An optimized crystal structure of Cs2ZnSb2. Source: Alexandria via LeMat-Bulk, functional PBE.

a = 7.6555 Å, b = 7.6555 Å, c = 6.4041 Å
α = 90.00°, β = 90.00°, γ = 90.00°
Last column: nearest neighbours and their distance in Å.
Atoms (fractional coordinates):
Cs  0.1704  0.3296  0.0000  5 Cs 3.69-4.02, 6 Sb 3.81-3.99
Cs  0.3296  0.8296  0.0000  5 Cs 3.69-4.02, 6 Sb 3.81-3.99
Cs  0.6704  0.1704  0.0000  5 Cs 3.69-4.02, 6 Sb 3.81-3.99
Cs  0.8296  0.6704  0.0000  5 Cs 3.69-4.02, 6 Sb 3.81-3.99
Zn  0.0000  0.0000  0.5000  4 Sb 2.96
Zn  0.5000  0.5000  0.5000  4 Sb 2.96
Sb  0.1388  0.6388  0.5000  2 Zn 2.96, 1 Sb 3.01
Sb  0.3612  0.1388  0.5000  2 Zn 2.96, 1 Sb 3.01
Sb  0.6388  0.8612  0.5000  2 Zn 2.96, 1 Sb 3.01
Sb  0.8612  0.3612  0.5000  2 Zn 2.96, 1 Sb 3.01

Values from the calculation:
Symmetry ... P4/mbm
DOS at the Fermi energy ... 1.46 states/eV per cell
E_tot ... -2.44 eV per atom

***

An optimized crystal structure of CsZn3Sb2. Source: Alexandria via LeMat-Bulk, functional PBE.

a = 9.5807 Å, b = 9.5807 Å, c = 7.1015 Å
α = 99.76°, β = 99.76°, γ = 32.96°
Last column: nearest neighbours and their distance in Å.
Atoms (fractional coordinates):
Cs  0.1131  0.1131  0.1916  3 Zn 3.33-3.64
Cs  0.8869  0.8869  0.8084  3 Zn 3.33-3.64
Zn  0.0497  0.0497  0.6494  1 Zn 2.54
Zn  0.2864  0.2864  0.4283  1 Zn 2.58, 1 Sb 2.75
Zn  0.3115  0.3115  0.0824  1 Zn 2.58, 2 Sb 2.69-2.82
Zn  0.6885  0.6885  0.9176  1 Zn 2.58, 2 Sb 2.69-2.82
Zn  0.7136  0.7136  0.5717  1 Zn 2.58, 1 Sb 2.75
Zn  0.9503  0.9503  0.3506  1 Zn 2.54
Sb  0.2116  0.2116  0.7318  7 Zn 2.75-3.08
Sb  0.4603  0.4603  0.1663  1 Zn 2.69, 1 Sb 2.99
Sb  0.5397  0.5397  0.8337  1 Zn 2.69, 1 Sb 2.99
Sb  0.7884  0.7884  0.2682  7 Zn 2.75-3.08

Values from the calculation:
Symmetry ... C2/m
DOS at the Fermi energy ... 2.15 states/eV per cell
E_tot ... -2.19 eV per atom

***

An optimized crystal structure of Cs2Zn2Sb3. Source: Alexandria via LeMat-Bulk, functional PBE.

a = 7.4365 Å, b = 7.4365 Å, c = 8.1212 Å
α = 115.18°, β = 115.18°, γ = 42.44°
Last column: nearest neighbours and their distance in Å.
Atoms (fractional coordinates):
Cs  0.1343  0.1343  0.2923  1 Zn 3.85, 7 Sb 3.91-4.17
Cs  0.8657  0.8657  0.7077  1 Zn 3.85, 7 Sb 3.91-4.17
Zn  0.3568  0.3568  0.1331  4 Sb 2.70-2.78
Zn  0.6432  0.6432  0.8669  4 Sb 2.70-2.78
Sb  0.1706  0.1706  0.8126  3 Zn 2.70-2.78
Sb  0.5000  0.5000  0.5000  2 Zn 2.72
Sb  0.8294  0.8294  0.1874  3 Zn 2.70-2.78

Values from the calculation:
Symmetry ... C2/m
DOS at the Fermi energy ... 2.62 states/eV per cell
E_tot ... -2.50 eV per atom

***

Number 1: uncorrected formation energy 16.8 meV per atom. Number 2: uncorrected formation energy -339.2 meV per atom. Number 3: uncorrected formation energy -87.8 meV per atom. Number 4: uncorrected formation energy -197.5 meV per atom. Number 5: uncorrected formation energy -37.0 meV per atom. Number 6: uncorrected formation energy -123.9 meV per atom.